VASP calculation (PBE+U) on a relaxed structure of TiV15O24.

abc: 5.5610 9.1469 9.1605
angles: 68.29 84.82 84.83
Last column: magnetic moment on the atom in μB.
Sites, in units of the cell vectors:
1 Ti 0.2958 0.0725 0.0698  0.19
2 V 0.7989 0.5782 0.0727  1.99
3 V 0.6995 0.1787 0.1742  1.94
4 V 0.6997 0.4252 0.4269  1.95
5 V 0.1962 0.6717 0.1785  1.96
6 V 0.7999 0.8240 0.3240  1.96
7 V 0.8016 0.0739 0.5740  1.96
8 V 0.2986 0.3253 0.3248  1.95
9 V 0.7973 0.3247 0.8253  1.96
10 V 0.2021 0.1723 0.6724  1.97
11 V 0.2974 0.5736 0.5767  1.95
12 V 0.7011 0.6748 0.6751  1.97
13 V 0.2045 0.9251 0.4240  1.95
14 V 0.2029 0.4273 0.9275  1.95
15 V 0.3048 0.8274 0.8230  2.03
16 V 0.6973 0.9246 0.9241  2.35
17 O 0.8492 0.3771 0.0266  -0.04
18 O 0.0113 0.0321 0.2138  -0.02
19 O 0.3473 0.2749 0.1281  -0.03
20 O 0.9957 0.4718 0.2773  -0.04
21 O 0.8496 0.7748 0.1299  -0.05
22 O 0.3372 0.8814 0.0323  -0.02
23 O 0.4954 0.5272 0.2254  -0.03
24 O 0.6549 0.2227 0.3752  -0.04
25 O 0.8508 0.2777 0.6275  -0.04
26 O 0.5018 0.9737 0.2735  -0.03
27 O 0.1525 0.1241 0.4691  -0.03
28 O 0.6504 0.6240 0.4751  -0.03
29 O 0.8510 0.8747 0.5223  -0.03
30 O 0.3453 0.3736 0.5280  -0.04
31 O 0.4998 0.0304 0.7183  -0.04
32 O 0.9971 0.5246 0.7248  -0.03
33 O 0.1519 0.7229 0.3773  -0.04
34 O 0.3505 0.7760 0.6247  -0.03
35 O 0.4949 0.4708 0.7784  -0.04
36 O 0.0042 0.9750 0.7723  -0.04
37 O 0.6461 0.1297 0.9751  -0.04
38 O 0.1582 0.2160 0.8843  -0.02
39 O 0.6507 0.7191 0.8747  -0.04
40 O 0.1565 0.6265 0.9732  -0.03

Total magnetization = 31.0 Bohr magnetons per cell
Energy = -0.29722 Ha/atom
Crystal system = triclinic